{"formula": "PuNiBO5", "functional": "PBE+U", "state": "relaxed", "sg": "C2/c, No. 15", "mass_density_g_cm3": 7.08, "volume_a3_per_cell": 185, "dft_energy_ev_per_atom": -8.028, "magmom_total_mub_per_cell": 6.00, "crystal_system": "monoclinic", "lattice_angstrom": [[2.9940, -4.2500, 0.0000], [2.9940, 4.2500, 0.0000], [-2.9024, 0.0000, 7.2522]], "species": ["Pu", "Pu", "Ni", "Ni", "B", "B", "O", "O", "O", "O", "O", "O", "O", "O", "O", "O"], "fractional_positions": [[0.0000, 0.0000, 0.0000], [0.0000, 0.0000, 0.5000], [0.3260, 0.6740, 0.7500], [0.6740, 0.3260, 0.2500], [0.3097, 0.6903, 0.2500], [0.6903, 0.3097, 0.7500], [0.0535, 0.6512, 0.3212], [0.1037, 0.8963, 0.7500], [0.2702, 0.4384, 0.1006], [0.3488, 0.9465, 0.1788], [0.4384, 0.2702, 0.6006], [0.5616, 0.7298, 0.3994], [0.6512, 0.0535, 0.8212], [0.7298, 0.5616, 0.8994], [0.8963, 0.1037, 0.2500], [0.9465, 0.3488, 0.6788]]}